w.
# Zr2NiHOs | Alexandria via LeMat-Bulk | PBE | optimized geometry
# Size of the total moment in μB/cell: 0.0
data_Zr2NiHOs
_space_group_name_H-M_alt 'P 1'
_space_group_IT_number 1
_cell_length_a 4.4992
_cell_length_b 4.4992
_cell_length_c 3.5920
_cell_angle_alpha 90.00
_cell_angle_beta 90.00
_cell_angle_gamma 90.00
loop_
_space_group_symop_operation_xyz
'x,y,z'
loop_
_atom_site_label
_atom_site_type_symbol
_atom_site_fract_x
_atom_site_fract_y
_atom_site_fract_z
H1 H 0.0000 0.0000 0.0000
Zr1 Zr 0.0000 0.5000 0.0000
Zr2 Zr 0.5000 0.0000 0.0000
Os1 Os 0.0000 0.0000 0.5000
Ni1 Ni 0.5000 0.5000 0.5000

x.
# Zr2NiHOs | Alexandria via LeMat-Bulk | PBE | optimized geometry
# Size of the total moment in μB/cell: 0.0
data_Zr2NiHOs
_space_group_name_H-M_alt 'P 1'
_space_group_IT_number 1
_cell_length_a 4.6199
_cell_length_b 4.6199
_cell_length_c 3.3372
_cell_angle_alpha 90.00
_cell_angle_beta 90.00
_cell_angle_gamma 90.00
loop_
_space_group_symop_operation_xyz
'x,y,z'
loop_
_atom_site_label
_atom_site_type_symbol
_atom_site_fract_x
_atom_site_fract_y
_atom_site_fract_z
Zr1 Zr 0.0000 0.5000 0.0000
Zr2 Zr 0.5000 0.0000 0.0000
Ni1 Ni 0.0000 0.0000 0.5000
Os1 Os 0.5000 0.5000 0.5000
H1 H 0.0000 0.0000 0.0000

Stability comparison, relative energies in eV/atom: w 0.134; x 0.000

w.
# NiP3H | Alexandria via LeMat-Bulk | PBE | optimized geometry
# Size of the total moment in μB/cell: 0.0
data_NiP3H
_space_group_name_H-M_alt 'P 1'
_space_group_IT_number 1
_cell_length_a 3.8614
_cell_length_b 3.8614
_cell_length_c 3.8614
_cell_angle_alpha 90.00
_cell_angle_beta 90.00
_cell_angle_gamma 90.00
loop_
_space_group_symop_operation_xyz
'x,y,z'
loop_
_atom_site_label
_atom_site_type_symbol
_atom_site_fract_x
_atom_site_fract_y
_atom_site_fract_z
H1 H 0.0000 0.0000 0.0000
P1 P 0.0000 0.5000 0.0000
P2 P 0.0000 0.0000 0.5000
P3 P 0.5000 0.0000 0.0000
Ni1 Ni 0.5000 0.5000 0.5000

x.
# NiP3H | Alexandria via LeMat-Bulk | PBE | optimized geometry
# Size of the total moment in μB/cell: 0.0
data_NiP3H
_space_group_name_H-M_alt 'P 1'
_space_group_IT_number 1
_cell_length_a 4.3722
_cell_length_b 4.3722
_cell_length_c 4.3722
_cell_angle_alpha 90.00
_cell_angle_beta 90.00
_cell_angle_gamma 90.00
loop_
_space_group_symop_operation_xyz
'x,y,z'
loop_
_atom_site_label
_atom_site_type_symbol
_atom_site_fract_x
_atom_site_fract_y
_atom_site_fract_z
P1 P 0.0000 0.5000 0.0000
P2 P 0.0000 0.0000 0.5000
P3 P 0.5000 0.0000 0.0000
Ni1 Ni 0.0000 0.0000 0.0000
H1 H 0.5000 0.5000 0.5000

y.
# NiP3H | Alexandria via LeMat-Bulk | PBE | optimized geometry
# Size of the total moment in μB/cell: 0.0
data_NiP3H
_space_group_name_H-M_alt 'P 1'
_space_group_IT_number 1
_cell_length_a 6.9600
_cell_length_b 3.1015
_cell_length_c 6.6975
_cell_angle_alpha 90.00
_cell_angle_beta 81.80
_cell_angle_gamma 90.00
loop_
_space_group_symop_operation_xyz
'x,y,z'
loop_
_atom_site_label
_atom_site_type_symbol
_atom_site_fract_x
_atom_site_fract_y
_atom_site_fract_z
P1 P 0.5135 0.4264 0.8126
P2 P 0.7072 0.9264 0.6127
P3 P 0.0132 0.9263 0.3120
P4 P 0.4709 0.9263 0.0888
P5 P 0.9712 0.4264 0.5886
P6 P 0.2066 0.4264 0.1123
H1 H 0.2293 0.9265 0.7078
H2 H 0.7281 0.4264 0.2088
Ni1 Ni 0.2023 0.4265 0.7739
Ni2 Ni 0.7015 0.9264 0.2747

Stability comparison, relative energies in eV/atom: w 0.615; x 0.960; y 0.000